#i
Here is a geometry-optimized TlPbAu4 structure from Alexandria. Energies are from PBE.

Geometry as POSCAR:
```
TlPbAu4
1.0
-0.0574 -3.4699 4.1340
5.3940 -0.1589 -0.0555
2.8290 3.3577 2.8594
Tl Au Pb
1 4 1
Cartesian
1.3830 -0.0763 3.4888 Tl
4.0349 -1.3281 2.4769 Au
6.8499 2.6576 2.3394 Au
4.1253 1.0167 4.4455 Au
1.3665 0.5008 0.4489 Au
4.1082 1.5794 1.3941 Pb
```

Results
For the density, the calculation gives 15226 kg/m3. The calculation puts the density of states at the Fermi level at 1.7 states/eV/cell.

#ii
Here is a geometry-optimized TlPbAu4 structure from Alexandria. Energies are from PBE.

Geometry as POSCAR:
```
TlPbAu4
1.0
-3.1682 -4.6221 1.1522
2.5124 -5.0962 0.6679
0.2403 -2.4136 5.1813
Au Tl Pb
4 1 1
Cartesian
-0.2597 -7.5833 4.3764 Au
-0.3799 -6.3758 1.7843 Au
1.3253 -5.2710 3.8000 Au
-1.5166 -5.0338 4.0422 Au
0.0000 0.0000 0.0000 Tl
-0.1039 -3.0330 1.7504 Pb
```

Results
For the density, the calculation gives 15043 kg/m3. The calculation puts the density of states at the Fermi level at 5.9 states/eV/cell.

Of them, #ii has the highest stability.

#i
Here is a geometry-optimized TlPb6Au structure from Alexandria. Energies are from PBE.

Geometry as POSCAR:
```
TlPb6Au
1.0
4.9233 0.0000 0.0000
0.0000 4.9233 0.0000
0.0000 0.0000 10.9975
Pb Tl Au
6 1 1
Cartesian
2.4616 0.0000 3.6853 Pb
2.4616 0.0000 7.3122 Pb
0.0000 2.4616 3.6853 Pb
2.4616 2.4616 9.4249 Pb
2.4616 2.4616 1.5727 Pb
0.0000 2.4616 7.3122 Pb
0.0000 0.0000 0.0000 Tl
0.0000 0.0000 5.4988 Au
```

Results
For the density, the calculation gives 10245 kg/m3. The calculation puts the density of states at the Fermi level at 3.8 states/eV/cell.

#ii
Here is a geometry-optimized TlPb6Au structure from Alexandria. Energies are from PBE.

Geometry as POSCAR:
```
TlPb6Au
1.0
4.7090 0.0000 0.0000
0.0000 7.1530 -0.6853
0.0000 -0.2316 7.1820
Tl Pb Au
1 6 1
Cartesian
2.3545 0.6528 6.2398 Tl
2.3545 0.7598 2.7084 Pb
0.0000 5.6918 3.6223 Pb
2.3545 4.1704 5.9097 Pb
0.0000 2.9464 1.0454 Pb
0.0000 2.3410 4.4413 Pb
0.0000 6.3069 0.2161 Pb
2.3545 4.8165 1.8039 Au
```

Results
For the density, the calculation gives 11323 kg/m3. The calculation puts the density of states at the Fermi level at 3.6 states/eV/cell.

Of them, #ii has the highest stability.